No. 1
A relaxed Ca2ZnF6 crystal, computed with PBE-GGA.

- calculated density (g cm⁻³) = 3.275
- space group = P2_1/c (14)
- DOS(E_F) (states/eV per cell) = 0.0
- formation energy without anion corrections (eV per atom) = -3.343

Cell lengths 5.578, 5.824, 9.251 Å; angles 90.00, 118.87, 90.00 degrees
Element x y z (fractional)
1 Ca 0.188 0.086 0.228
2 Ca 0.188 0.414 0.728
3 Ca 0.812 0.586 0.272
4 Ca 0.812 0.914 0.772
5 Zn 0.500 0.000 0.000
6 Zn 0.500 0.500 0.500
7 F 0.149 0.175 0.948
8 F 0.149 0.325 0.448
9 F 0.227 0.720 0.891
10 F 0.227 0.780 0.391
11 F 0.454 0.096 0.780
12 F 0.454 0.404 0.280
13 F 0.546 0.596 0.720
14 F 0.546 0.904 0.220
15 F 0.773 0.220 0.609
16 F 0.773 0.280 0.109
17 F 0.851 0.675 0.552
18 F 0.851 0.825 0.052

=====

No. 2
A relaxed TbY3Tm6 crystal, computed with PBE-GGA.

- calculated density (g cm⁻³) = 7.590
- space group = Cmc2_1 (36)
- E (eV per atom) = -4.943
- DOS(E_F) (states/eV per cell) = 29.5

Cell lengths 10.885, 10.885, 6.110 Å; angles 90.00, 90.00, 119.55 degrees
Element x y z (fractional)
1 Tb 0.209 0.791 0.500
2 Tb 0.791 0.209 0.000
3 Y 0.064 0.280 0.695
4 Y 0.280 0.064 0.195
5 Y 0.391 0.609 0.587
6 Y 0.609 0.391 0.087
7 Y 0.720 0.936 0.695
8 Y 0.936 0.720 0.195
9 Tm 0.036 0.459 0.289
10 Tm 0.049 0.951 0.727
11 Tm 0.285 0.715 0.015
12 Tm 0.288 0.384 0.126
13 Tm 0.384 0.288 0.626
14 Tm 0.459 0.036 0.789
15 Tm 0.541 0.964 0.289
16 Tm 0.616 0.712 0.126
17 Tm 0.712 0.616 0.626
18 Tm 0.715 0.285 0.515
19 Tm 0.951 0.049 0.227
20 Tm 0.964 0.541 0.789

=====

No. 3
A relaxed Mg5In8Ga crystal, computed with PBE-GGA.

- calculated density (g cm⁻³) = 5.251
- space group = I-4 (82)
- E (eV per atom) = -2.349
- DOS(E_F) (states/eV per cell) = 4.2

Cell lengths 7.697, 7.697, 7.697 Å; angles 108.98, 108.98, 110.45 degrees
Element x y z (fractional)
1 Mg 0.000 0.000 0.000
2 Mg 0.217 0.295 0.711
3 Mg 0.494 0.783 0.079
4 Mg 0.584 0.506 0.289
5 Mg 0.705 0.416 0.921
6 In 0.138 0.451 0.080
7 In 0.371 0.058 0.920
8 In 0.415 0.138 0.398
9 In 0.549 0.629 0.687
10 In 0.739 0.017 0.602
11 In 0.862 0.261 0.277
12 In 0.942 0.862 0.313
13 In 0.983 0.585 0.723
14 Ga 0.250 0.750 0.500

=====

No. 4
A relaxed KAcPr crystal, computed with PBE-GGA.

- calculated density (g cm⁻³) = 4.783
- space group = Cm (8)
- E (eV per atom) = -3.211
- DOS(E_F) (states/eV per cell) = 8.6

Cell lengths 3.977, 3.977, 20.802 Å; angles 96.17, 96.17, 59.94 degrees
Element x y z (fractional)
1 K 0.000 0.000 0.000
2 K 0.628 0.628 0.799
3 Ac 0.228 0.228 0.617
4 Ac 0.395 0.395 0.182
5 Pr 0.117 0.117 0.327
6 Pr 0.506 0.506 0.472

=====

No. 5
A relaxed ZrCu3Hg crystal, computed with PBE-GGA.

- calculated density (g cm⁻³) = 7.658
- space group = Pm-3m (221)
- E (eV per atom) = -3.342
- DOS(E_F) (states/eV per cell) = 3.0

Cell lengths 4.712, 4.712, 4.712 Å; angles 90.00, 90.00, 90.00 degrees
Element x y z (fractional)
1 Zr 0.000 0.000 0.000
2 Cu 0.000 0.500 0.500
3 Cu 0.500 0.000 0.500
4 Cu 0.500 0.500 0.000
5 Hg 0.500 0.500 0.500

=====

No. 6
A relaxed NaTl crystal, computed with PBE-GGA.

- calculated density (g cm⁻³) = 4.324
- space group = F-43m (216)
- E (eV per atom) = -1.473
- DOS(E_F) (states/eV per cell) = 0.8

Cell lengths 4.980, 4.980, 4.980 Å; angles 60.00, 60.00, 60.00 degrees
Element x y z (fractional)
1 Na 0.000 0.000 0.000
2 Tl 0.750 0.750 0.750

=====

No. 7
A relaxed Pm2CuGe3Pt4 crystal, computed with PBE-GGA.

- calculated density (g cm⁻³) = 11.811
- space group = P-4m2 (115)
- E (eV per atom) = -6.028
- DOS(E_F) (states/eV per cell) = 5.3

Cell lengths 4.339, 4.339, 10.093 Å; angles 90.00, 90.00, 90.00 degrees
Element x y z (fractional)
1 Pm 0.000 0.500 0.240
2 Pm 0.500 0.000 0.760
3 Cu 0.500 0.500 0.000
4 Ge 0.000 0.000 0.000
5 Ge 0.000 0.500 0.632
6 Ge 0.500 0.000 0.368
7 Pt 0.000 0.000 0.500
8 Pt 0.000 0.500 0.872
9 Pt 0.500 0.000 0.128
10 Pt 0.500 0.500 0.500

=====

No. 8
A relaxed BaCaI crystal, computed with PBE-GGA.

- calculated density (g cm⁻³) = 3.721
- space group = P2_1/m (11)
- DOS(E_F) (states/eV per cell) = 6.0
- formation energy without anion corrections (eV per atom) = -0.740

Cell lengths 7.525, 4.380, 8.241 Å; angles 90.00, 90.50, 90.00 degrees
Element x y z (fractional)
1 Ba 0.088 0.250 0.207
2 Ba 0.912 0.750 0.793
3 Ca 0.416 0.250 0.813
4 Ca 0.584 0.750 0.187
5 I 0.273 0.750 0.512
6 I 0.727 0.250 0.488

=====

No. 9
A relaxed UP2Pt crystal, computed with PBE-GGA.

- calculated density (g cm⁻³) = 12.495
- space group = P4/mmm (123)
- E (eV per atom) = -7.710
- DOS(E_F) (states/eV per cell) = 3.2

Cell lengths 4.264, 4.264, 3.618 Å; angles 90.00, 90.00, 90.00 degrees
Element x y z (fractional)
1 U 0.000 0.000 0.000
2 P 0.000 0.500 0.500
3 P 0.500 0.000 0.500
4 Pt 0.500 0.500 0.000

=====

No. 10
A relaxed OsRh3F crystal, computed with PBE-GGA.

- calculated density (g cm⁻³) = 8.238
- space group = Pm-3m (221)
- DOS(E_F) (states/eV per cell) = 6.4
- formation energy without anion corrections (eV per atom) = 1.242

Cell lengths 4.709, 4.709, 4.709 Å; angles 90.00, 90.00, 90.00 degrees
Element x y z (fractional)
1 Os 0.000 0.000 0.000
2 Rh 0.000 0.000 0.500
3 Rh 0.000 0.500 0.000
4 Rh 0.500 0.000 0.000
5 F 0.500 0.500 0.500

=====

No. 11
A relaxed Pm4Ag2Au crystal, computed with PBE-GGA.

- calculated density (g cm⁻³) = 8.392
- space group = I-42d (122)
- E (eV per atom) = -4.271
- DOS(E_F) (states/eV per cell) = 18.7

Cell lengths 7.992, 7.992, 7.992 Å; angles 109.71, 109.71, 109.00 degrees
Element x y z (fractional)
1 Pm 0.116 0.232 0.748
2 Pm 0.119 0.734 0.752
3 Pm 0.266 0.018 0.385
4 Pm 0.484 0.369 0.252
5 Pm 0.631 0.884 0.115
6 Pm 0.634 0.881 0.615
7 Pm 0.768 0.516 0.885
8 Pm 0.982 0.366 0.248
9 Ag 0.258 0.625 0.133
10 Ag 0.375 0.508 0.633
11 Ag 0.492 0.125 0.867
12 Ag 0.875 0.742 0.367
13 Au 0.000 0.000 0.000
14 Au 0.750 0.250 0.500

=====

Q: Among the records above, which one has the lowest calculated density?
A: Ca2ZnF6

=====

Q: The lowest DOS(E_F) belongs to which entry?
A: Ca2ZnF6